[1]
A plane-wave DFT calculation with PBE-GGA was carried out for a relaxed structure of MnSi2As.

Output
Formation energy from raw total energies, eV/atom: 0.08
Symmetry: No. 6

Cell and atoms, written as POSCAR:
```
MnSi2As
1.0
3.579 0.000 0.000
0.000 3.557 -0.003
0.000 1.773 4.748
As Mn Si
1 1 2
direct
0.000 0.524 0.567 As
0.500 0.945 0.722 Mn
0.000 0.789 0.064 Si
0.500 0.242 0.147 Si
```

[2]
A plane-wave DFT calculation with PBE-GGA was carried out for a relaxed structure of ZrSc3Sb4.

Output
Formation energy from raw total energies, eV/atom: -0.86
Symmetry: No. 65

Cell and atoms, written as POSCAR:
```
ZrSc3Sb4
1.0
-1.617 2.174 3.147
0.312 -5.833 4.189
6.136 3.696 0.599
Zr Sc Sb
1 3 4
direct
0.500 0.000 0.000 Zr
0.000 0.000 0.500 Sc
0.500 0.500 0.500 Sc
0.000 0.500 0.000 Sc
0.000 0.251 0.251 Sb
0.500 0.749 0.251 Sb
0.000 0.749 0.749 Sb
0.500 0.251 0.749 Sb
```

[3]
A plane-wave DFT calculation with PBE-GGA was carried out for a relaxed structure of MnCd.

Output
E_form, meV per atom: 1201
Symmetry: No. 216

Cell and atoms, written as POSCAR:
```
MnCd
1.0
4.423 0.000 0.000
2.212 3.831 0.000
2.212 1.277 3.612
Cd Mn
1 1
direct
0.000 0.000 0.000 Cd
0.250 0.250 0.250 Mn
```

[4]
A plane-wave DFT calculation with PBE-GGA was carried out for a relaxed structure of Ho2Cu9Au.

Output
E_form, meV per atom: -114
Symmetry: No. 166

Cell and atoms, written as POSCAR:
```
Ho2Cu9Au
1.0
5.086 0.000 0.000
2.543 4.405 0.000
2.543 1.468 8.112
Ho Cu Au
2 9 1
direct
0.866 0.866 0.401 Ho
0.134 0.134 0.599 Ho
0.667 0.667 0.000 Cu
0.333 0.333 0.000 Cu
0.500 0.500 0.500 Cu
0.416 0.416 0.246 Cu
0.921 0.416 0.246 Cu
0.416 0.921 0.246 Cu
0.584 0.584 0.754 Cu
0.584 0.079 0.754 Cu
0.079 0.584 0.754 Cu
0.000 0.000 0.000 Au
```

[5]
A plane-wave DFT calculation with PBE-GGA was carried out for a relaxed structure of Tb2HO3.

Output
Symmetry: No. 62

Cell and atoms, written as POSCAR:
```
Tb2HO3
1.0
-0.387 -0.627 3.271
2.171 -8.796 -1.429
8.596 1.897 1.381
Tb H O
8 4 12
direct
0.250 0.677 0.489 Tb
0.750 0.323 0.511 Tb
0.750 0.177 0.011 Tb
0.250 0.823 0.989 Tb
0.250 0.994 0.317 Tb
0.750 0.006 0.683 Tb
0.750 0.494 0.183 Tb
0.250 0.506 0.817 Tb
0.250 0.198 0.207 H
0.750 0.802 0.793 H
0.750 0.698 0.293 H
0.250 0.302 0.707 H
0.250 0.377 0.039 O
0.750 0.623 0.961 O
0.750 0.877 0.461 O
0.250 0.123 0.539 O
0.250 0.707 0.235 O
0.750 0.293 0.765 O
0.750 0.207 0.265 O
0.250 0.793 0.735 O
0.250 0.447 0.378 O
0.750 0.553 0.622 O
0.750 0.947 0.122 O
0.250 0.053 0.878 O
```

[6]
A plane-wave DFT calculation with PBE-GGA was carried out for a relaxed structure of ScCoSb2.

Output
Formation energy from raw total energies, eV/atom: -0.19
Symmetry: No. 10

Cell and atoms, written as POSCAR:
```
ScCoSb2
1.0
-0.471 2.729 3.008
-0.637 -2.435 2.109
5.867 -0.800 1.644
Co Sb Sc
1 2 1
direct
0.500 0.750 0.750 Co
0.000 0.845 0.988 Sb
0.000 0.655 0.512 Sb
0.500 0.250 0.250 Sc
```

[7]
A plane-wave DFT calculation with PBE-GGA was carried out for a relaxed structure of Ba2NiTePb.

Output
Formation energy from raw total energies, eV/atom: -0.63
Symmetry: No. 123

Cell and atoms, written as POSCAR:
```
Ba2NiTePb
1.0
6.132 0.000 0.000
0.000 6.132 0.000
0.000 0.000 4.853
Pb Ni Te Ba
1 1 1 2
direct
0.000 0.000 0.500 Pb
0.000 0.000 0.000 Ni
0.500 0.500 0.500 Te
0.000 0.500 0.000 Ba
0.500 0.000 0.000 Ba
```

[8]
A plane-wave DFT calculation with PBE-GGA was carried out for a relaxed structure of CsBi4Au9.

Output
E_form, meV per atom: -78
Symmetry: No. 140

Cell and atoms, written as POSCAR:
```
CsBi4Au9
1.0
8.645 0.000 -4.875
-2.749 8.197 -4.875
-0.095 -0.132 9.935
Cs Bi Au
2 8 18
direct
0.750 0.750 0.500 Cs
0.250 0.250 0.500 Cs
0.321 0.821 0.250 Bi
0.929 0.429 0.250 Bi
0.571 0.679 0.750 Bi
0.179 0.071 0.750 Bi
0.679 0.179 0.750 Bi
0.071 0.571 0.750 Bi
0.821 0.929 0.250 Bi
0.429 0.321 0.250 Bi
0.035 0.202 0.000 Au
0.965 0.798 0.000 Au
0.535 0.298 0.000 Au
0.465 0.702 0.000 Au
0.298 0.465 0.000 Au
0.702 0.535 0.000 Au
0.202 0.965 0.000 Au
0.798 0.035 0.000 Au
0.000 0.500 0.000 Au
0.500 0.000 0.000 Au
0.783 0.283 0.354 Au
0.570 0.070 0.354 Au
0.930 0.217 0.646 Au
0.717 0.430 0.646 Au
0.217 0.717 0.646 Au
0.430 0.930 0.646 Au
0.283 0.570 0.354 Au
0.070 0.783 0.354 Au
```

[9]
A plane-wave DFT calculation with PBE-GGA was carried out for a relaxed structure of NaLiAs3.

Output
Energy relative to the lowest polymorph listed for this composition, kJ per mole of atoms: 0.0
E_form, meV per atom: -61
Symmetry: No. 160

Cell and atoms, written as POSCAR:
```
NaLiAs3
1.0
5.299 0.000 1.979
2.280 4.783 1.979
-1.041 -0.657 10.872
Na Li As
2 2 6
direct
0.989 0.989 0.032 Na
0.489 0.489 0.532 Na
0.756 0.756 0.733 Li
0.256 0.256 0.233 Li
0.781 0.223 0.773 As
0.223 0.223 0.773 As
0.223 0.781 0.773 As
0.723 0.723 0.273 As
0.281 0.723 0.273 As
0.723 0.281 0.273 As
```

[10]
A plane-wave DFT calculation with PBE-GGA was carried out for a relaxed structure of LiZr2F8.

Output
Energy relative to the lowest polymorph listed for this composition, kJ per mole of atoms: 2.3
Formation energy from raw total energies, eV/atom: -3.39
Symmetry: No. 12

Cell and atoms, written as POSCAR:
```
LiZr2F8
1.0
-4.499 1.629 1.436
-1.386 -4.783 -2.570
0.929 -4.008 3.805
Li Zr F
1 2 8
direct
0.000 0.000 0.000 Li
0.434 0.688 0.688 Zr
0.566 0.312 0.312 Zr
0.308 0.342 0.945 F
0.692 0.055 0.658 F
0.194 0.841 0.841 F
0.806 0.159 0.159 F
0.308 0.945 0.342 F
0.692 0.658 0.055 F
0.754 0.558 0.558 F
0.246 0.442 0.442 F
```

[11]
A plane-wave DFT calculation with PBE-GGA was carried out for a relaxed structure of TmBe9Ru2.

Output
E_form, meV per atom: -292
Symmetry: No. 194

Cell and atoms, written as POSCAR:
```
TmBe9Ru2
1.0
-0.624 3.574 -2.581
-2.115 -3.807 -0.922
-10.836 4.034 8.205
Tm Be Ru
2 18 4
direct
0.333 0.667 0.750 Tm
0.667 0.333 0.250 Tm
0.000 0.000 0.000 Be
0.000 0.000 0.500 Be
0.000 0.000 0.250 Be
0.000 0.000 0.750 Be
0.333 0.667 0.250 Be
0.667 0.333 0.750 Be
0.170 0.340 0.118 Be
0.660 0.830 0.118 Be
0.170 0.830 0.118 Be
0.830 0.660 0.618 Be
0.340 0.170 0.618 Be
0.830 0.170 0.618 Be
0.340 0.170 0.882 Be
0.830 0.660 0.882 Be
0.830 0.170 0.882 Be
0.660 0.830 0.382 Be
0.170 0.340 0.382 Be
0.170 0.830 0.382 Be
0.333 0.667 0.535 Ru
0.667 0.333 0.035 Ru
0.667 0.333 0.465 Ru
0.333 0.667 0.965 Ru
```

[12]
A plane-wave DFT calculation with PBE-GGA was carried out for a relaxed structure of LiSi2Pt.

Output
Energy relative to the lowest polymorph listed for this composition, kJ per mole of atoms: 19.5
Formation energy from raw total energies, eV/atom: -0.29
Symmetry: No. 8

Cell and atoms, written as POSCAR:
```
LiSi2Pt
1.0
4.536 -0.009 0.032
3.608 2.748 0.032
0.488 0.164 4.433
Li Pt Si
1 1 2
direct
0.496 0.496 0.496 Li
0.744 0.744 0.753 Pt
0.006 0.006 0.996 Si
0.254 0.254 0.255 Si
```

[13]
A plane-wave DFT calculation with PBE-GGA was carried out for a relaxed structure of Re2SiTe.

Output
Energy relative to the lowest polymorph listed for this composition, kJ per mole of atoms: 22.1
Formation energy from raw total energies, eV/atom: 0.53
Symmetry: No. 166

Cell and atoms, written as POSCAR:
```
Re2SiTe
1.0
-3.097 -6.438 4.440
-0.176 -7.210 4.329
-1.151 -5.282 6.445
Re Si Te
2 1 1
direct
0.993 0.993 0.993 Re
0.507 0.507 0.507 Re
0.250 0.250 0.250 Si
0.750 0.750 0.750 Te
```

[14]
A plane-wave DFT calculation with PBE-GGA was carried out for a relaxed structure of ZnIn3Pt12.

Output
E_form, meV per atom: -363
Symmetry: No. 123

Cell and atoms, written as POSCAR:
```
ZnIn3Pt12
1.0
4.031 0.000 0.000
0.000 4.031 0.000
0.000 0.000 15.995
Zn In Pt
1 3 12
direct
0.000 0.000 0.000 Zn
0.000 0.000 0.245 In
0.000 0.000 0.500 In
0.000 0.000 0.755 In
0.500 0.500 0.000 Pt
0.500 0.500 0.246 Pt
0.500 0.500 0.500 Pt
0.500 0.500 0.754 Pt
0.500 0.000 0.118 Pt
0.500 0.000 0.373 Pt
0.500 0.000 0.627 Pt
0.500 0.000 0.882 Pt
0.000 0.500 0.118 Pt
0.000 0.500 0.373 Pt
0.000 0.500 0.627 Pt
0.000 0.500 0.882 Pt
```

[15]
A plane-wave DFT calculation with PBE-GGA was carried out for a relaxed structure of HgPt3.

Output
E_form, meV per atom: 58
Symmetry: No. 221

Cell and atoms, written as POSCAR:
```
HgPt3
1.0
-1.187 -2.368 3.087
-2.168 -2.277 -2.581
3.230 -2.399 -0.598
Hg Pt
1 3
direct
0.000 0.000 0.000 Hg
0.000 0.500 0.500 Pt
0.500 0.000 0.500 Pt
0.500 0.500 0.000 Pt
```

[16]
A plane-wave DFT calculation with PBE-GGA was carried out for a relaxed structure of Pr2ThZn9.

Output
E_form, meV per atom: -268
Symmetry: No. 166

Cell and atoms, written as POSCAR:
```
Pr2ThZn9
1.0
-5.497 0.237 0.546
-2.374 -1.520 4.757
-1.972 7.845 4.737
Pr Th Zn
2 1 9
direct
0.858 0.858 0.427 Pr
0.142 0.142 0.573 Pr
0.000 0.000 0.000 Th
0.665 0.665 0.004 Zn
0.335 0.335 0.996 Zn
0.500 0.500 0.500 Zn
0.418 0.418 0.242 Zn
0.923 0.418 0.242 Zn
0.418 0.923 0.242 Zn
0.582 0.582 0.758 Zn
0.582 0.077 0.758 Zn
0.077 0.582 0.758 Zn
```

[17]
A plane-wave DFT calculation with PBE-GGA was carried out for a relaxed structure of Ga2TeRh2.

Output
Energy relative to the lowest polymorph listed for this composition, kJ per mole of atoms: 0.0
Formation energy from raw total energies, eV/atom: -0.40
Symmetry: No. 127

Cell and atoms, written as POSCAR:
```
Ga2TeRh2
1.0
-3.075 -2.099 6.474
6.555 -2.822 2.199
0.732 2.639 1.203
Te Rh Ga
2 4 4
direct
0.000 0.000 0.000 Te
0.500 0.500 0.000 Te
0.344 0.844 0.000 Rh
0.844 0.656 0.000 Rh
0.656 0.156 0.000 Rh
0.156 0.344 0.000 Rh
0.137 0.637 0.500 Ga
0.637 0.863 0.500 Ga
0.863 0.363 0.500 Ga
0.363 0.137 0.500 Ga
```

[18]
A plane-wave DFT calculation with PBE-GGA was carried out for a relaxed structure of Ba3Ga4Ge.

Output
E_form, meV per atom: -322
Symmetry: No. 71

Cell and atoms, written as POSCAR:
```
Ba3Ga4Ge
1.0
-5.042 -1.871 -1.015
1.104 -4.487 2.787
-1.007 7.119 6.636
Ba Ga Ge
3 4 1
direct
0.204 0.204 0.409 Ba
0.796 0.796 0.591 Ba
0.000 0.500 0.000 Ba
0.379 0.617 0.758 Ga
0.621 0.383 0.242 Ga
0.621 0.859 0.242 Ga
0.379 0.141 0.758 Ga
0.500 0.000 0.000 Ge
```

[19]
A plane-wave DFT calculation with PBE-GGA was carried out for a relaxed structure of Ac3Sc4Pb4.

Output
E_form, meV per atom: -328
Symmetry: No. 217

Cell and atoms, written as POSCAR:
```
Ac3Sc4Pb4
1.0
7.777 0.000 0.000
-2.592 7.332 0.000
-2.592 -3.666 6.350
Ac Sc Pb
3 4 4
direct
0.500 0.500 0.000 Ac
0.500 0.000 0.500 Ac
0.000 0.500 0.500 Ac
0.000 0.244 0.000 Sc
0.000 0.000 0.244 Sc
0.244 0.000 0.000 Sc
0.756 0.756 0.756 Sc
0.000 0.609 0.000 Pb
0.609 0.000 0.000 Pb
0.000 0.000 0.609 Pb
0.391 0.391 0.391 Pb
```

[20]
A plane-wave DFT calculation with PBE-GGA was carried out for a relaxed structure of ZnTe3.

Output
Formation energy from raw total energies, eV/atom: 0.33
Symmetry: No. 225

Cell and atoms, written as POSCAR:
```
ZnTe3
1.0
5.312 0.000 0.000
2.656 4.600 0.000
2.656 1.533 4.337
Te Zn
3 1
direct
0.000 0.000 0.000 Te
0.750 0.750 0.750 Te
0.500 0.500 0.500 Te
0.250 0.250 0.250 Zn
```

[21]
A plane-wave DFT calculation with PBE-GGA was carried out for a relaxed structure of AlCdHgBi.

Output
E_form, meV per atom: 148
Symmetry: No. 216

Cell and atoms, written as POSCAR:
```
AlCdHgBi
1.0
5.248 0.000 0.000
2.624 4.545 0.000
2.624 1.515 4.285
Al Cd Bi Hg
1 1 1 1
direct
0.750 0.750 0.750 Al
0.250 0.250 0.250 Cd
0.000 0.000 0.000 Bi
0.500 0.500 0.500 Hg
```

[22]
A plane-wave DFT calculation with PBE-GGA was carried out for a relaxed structure of AsH2Ir.

Output
Energy relative to the lowest polymorph listed for this composition, kJ per mole of atoms: 44.0
Symmetry: No. 122

Cell and atoms, written as POSCAR:
```
AsH2Ir
1.0
-2.989 1.904 -2.382
-2.233 -3.638 -0.106
-4.935 0.444 2.721
H As Ir
4 2 2
direct
0.737 0.125 0.250 H
0.013 0.625 0.250 H
0.375 0.263 0.750 H
0.875 0.987 0.750 H
0.500 0.500 0.000 As
0.250 0.750 0.500 As
0.000 0.000 0.000 Ir
0.750 0.250 0.500 Ir
```

[23]
A plane-wave DFT calculation with PBE-GGA was carried out for a relaxed structure of BaNbHgSb2.

Output
Formation energy from raw total energies, eV/atom: 0.94
Symmetry: No. 123

Cell and atoms, written as POSCAR:
```
BaNbHgSb2
1.0
5.614 0.000 0.000
0.000 5.935 0.000
0.000 0.000 5.614
Sb Nb Hg Ba
2 1 1 1
direct
0.000 0.000 0.500 Sb
0.500 0.000 0.000 Sb
0.500 0.500 0.500 Nb
0.000 0.000 0.000 Hg
0.000 0.500 0.000 Ba
```

no.,final energy (eV/cell)
1,-24.347
2,-50.914
3,-7.683
4,-50.672
5,-170.386
6,-22.439
7,-19.646
8,-93.931
9,-34.977
10,-71.249
11,-120.120
12,-19.942
13,-31.334
14,-87.792
15,-18.193
16,-31.658
17,-51.774
18,-25.069
19,-56.091
20,-9.369
21,-8.248
22,-36.567
23,-15.822